A plane-wave DFT calculation with PBE-GGA was carried out for a relaxed structure of KFe2WAu.

Calculated values
magnetic moment: 10.6 μB/f.u.
space-group type: P4/mmm, No. 123
electronic total energy: -23.6 eV/f.u.
energy of formation from the pure elements: 2139 meV/atom

Lattice parameters (Å, degrees): 4.892 5.547 4.892 90.00 90.00 90.00
Last column: magnetic moment on the atom in μB.
Atoms (fractional coordinates):
K 0.000 0.500 0.000  0.01
Au 0.000 0.000 0.000  0.11
Fe 0.000 0.000 0.500  3.37
Fe 0.500 0.000 0.000  2.89
W 0.500 0.500 0.500  3.02

A plane-wave DFT calculation with PBE-GGA was carried out for a relaxed structure of ReSiAs2.

Calculated values
formation energy from raw total energies: 570 meV/atom
magnetic moment: 0.0 μB/f.u.
space-group type: C2/m, No. 12
electronic total energy: -24.9 eV/f.u.

Lattice parameters (Å, degrees): 4.986 4.367 4.195 73.83 69.30 113.65
Atoms (fractional coordinates):
As 0.000 0.000 0.000
As 0.500 0.000 0.500
Re 0.000 0.500 0.500
Si 0.500 0.500 0.000

A plane-wave DFT calculation with PBE-GGA was carried out for a relaxed structure of RePd6Au.

Calculated values
magnetic moment: 0.8 μB/f.u.
space-group type: P4/mmm, No. 123
electronic total energy: -46.8 eV/f.u.
energy of formation from the pure elements: 15 meV/atom

Lattice parameters (Å, degrees): 3.961 3.961 7.922 90.00 90.00 90.00
Last column: magnetic moment on the atom in μB.
Atoms (fractional coordinates):
Re 0.000 0.000 0.500  0.57
Pd 0.500 0.500 0.000  0.03
Pd 0.500 0.500 0.500  0.03
Pd 0.500 0.000 0.263  0.03
Pd 0.500 0.000 0.737  0.03
Pd 0.000 0.500 0.263  0.03
Pd 0.000 0.500 0.737  0.03
Au 0.000 0.000 0.000  0.00